Entry 1:
# Ba2TlH PBE relaxed
data_Ba2TlH
_cell_length_a 4.4138
_cell_length_b 4.4138
_cell_length_c 25.0349
_cell_angle_alpha 90.00
_cell_angle_beta 90.00
_cell_angle_gamma 120.00
_space_group_name_H-M_alt 'R -3 m'
_space_group_IT_number 166
_space_group_name_Hall '-R 3 2"'
loop_
_atom_site_label
_atom_site_fract_x
_atom_site_fract_y
_atom_site_fract_z
Ba1 0.0000 0.0000 0.2341
Tl1 0.0000 0.0000 0.0000
H1 0.0000 0.0000 0.5000
# Total magnetization in μB per formula unit: 0.00
# Energy relative to the lowest polymorph listed for this composition in eV per atom: 0.138
# Raw total energy in eV/atom: -2.638
# Volume in Å³ per cell: 422.39

***

Entry 2:
# ZrOsN2F PBE relaxed
data_ZrOsN2F
_cell_length_a 3.8706
_cell_length_b 3.8706
_cell_length_c 4.2236
_cell_angle_alpha 90.00
_cell_angle_beta 90.00
_cell_angle_gamma 90.00
_space_group_name_H-M_alt 'P 4/m m m'
_space_group_IT_number 123
_space_group_name_Hall '-P 4 2'
loop_
_atom_site_label
_atom_site_fract_x
_atom_site_fract_y
_atom_site_fract_z
Zr1 0.0000 0.0000 0.0000
Os1 0.5000 0.5000 0.5000
N1 0.0000 0.5000 0.5000
F1 0.5000 0.5000 0.0000
# Total magnetization in μB per formula unit: 0.00
# E_form (uncorrected) in eV/atom: 0.036
# Energy relative to the lowest polymorph listed for this composition in eV per atom: 0.000
# Raw total energy in eV/atom: -7.624
# Volume in Å³ per cell: 63.28

***

Entry 3:
# Er5Al4Cd PBE relaxed
data_Er5Al4Cd
_cell_length_a 3.5600
_cell_length_b 3.5600
_cell_length_c 18.3462
_cell_angle_alpha 90.00
_cell_angle_beta 90.00
_cell_angle_gamma 90.00
_space_group_name_H-M_alt 'P 4/m m m'
_space_group_IT_number 123
_space_group_name_Hall '-P 4 2'
loop_
_atom_site_label
_atom_site_fract_x
_atom_site_fract_y
_atom_site_fract_z
Er1 0.0000 0.0000 0.0000
Er2 0.0000 0.0000 0.1945
Er3 0.0000 0.0000 0.3904
Al1 0.5000 0.5000 0.0970
Al2 0.5000 0.5000 0.2935
Cd1 0.5000 0.5000 0.5000
# Formation energy from the elements in eV per atom: -0.38
# Total magnetization in μB per formula unit: 0.00
# Raw total energy in eV/atom: -4.249
# Volume in Å³ per cell: 232.52

***

Entry 4:
# Be2BH8 PBE relaxed
data_Be2BH8
_cell_length_a 8.5824
_cell_length_b 4.7988
_cell_length_c 3.8226
_cell_angle_alpha 90.00
_cell_angle_beta 109.88
_cell_angle_gamma 90.00
_space_group_name_H-M_alt 'C 1 2/m 1'
_space_group_IT_number 12
loop_
_space_group_symop_operation_xyz
'x,y,z'
'-x,-y,-z'
'-x,y,-z'
'x,-y,z'
'x+1/2,y+1/2,z'
'-x+1/2,-y+1/2,-z'
'-x+1/2,y+1/2,-z'
'x+1/2,-y+1/2,z'
loop_
_atom_site_label
_atom_site_fract_x
_atom_site_fract_y
_atom_site_fract_z
Be1 0.1823 0.0000 0.4948
B1 0.0000 0.0000 0.0000
H1 0.0795 0.2135 0.2073
H2 0.1340 0.0000 0.8131
H3 0.1531 0.5000 0.4998
# Total magnetization in μB per formula unit: 0.00
# Raw total energy in eV/atom: -3.401
# Volume in Å³ per cell: 148.06

***

Entry 5:
# Zn2RhBr PBE relaxed
data_Zn2RhBr
_cell_length_a 3.3202
_cell_length_b 3.4840
_cell_length_c 13.9282
_cell_angle_alpha 90.00
_cell_angle_beta 90.00
_cell_angle_gamma 90.00
_space_group_name_H-M_alt 'I m m 2'
_space_group_IT_number 44
loop_
_space_group_symop_operation_xyz
'x,y,z'
'-x,-y,z'
'-x,y,z'
'x,-y,z'
'x+1/2,y+1/2,z+1/2'
'-x+1/2,-y+1/2,z+1/2'
'-x+1/2,y+1/2,z+1/2'
'x+1/2,-y+1/2,z+1/2'
loop_
_atom_site_label
_atom_site_fract_x
_atom_site_fract_y
_atom_site_fract_z
Zn1 0.0000 0.0000 0.0000
Zn2 0.0000 0.5000 0.1901
Rh1 0.0000 0.0000 0.5522
Br1 0.0000 0.5000 0.7954
# Total magnetization in μB per formula unit: 0.00
# E_form (uncorrected) in eV/atom: -0.102
# Energy relative to the lowest polymorph listed for this composition in eV per atom: 0.108
# Raw total energy in eV/atom: -2.995
# Volume in Å³ per cell: 161.11

***

Entry 6:
# SmPaGaTc PBE relaxed
data_SmPaGaTc
_cell_length_a 7.0620
_cell_length_b 7.0620
_cell_length_c 7.0620
_cell_angle_alpha 90.00
_cell_angle_beta 90.00
_cell_angle_gamma 90.00
_space_group_name_H-M_alt 'F -4 3 m'
_space_group_IT_number 216
_space_group_name_Hall 'F -4 2 3'
loop_
_atom_site_label
_atom_site_fract_x
_atom_site_fract_y
_atom_site_fract_z
Sm1 0.0000 0.0000 0.0000
Pa1 0.0000 0.0000 0.5000
Ga1 0.2500 0.2500 0.7500
Tc1 0.2500 0.2500 0.2500
# Formation energy from the elements in eV per atom: -0.10
# Total magnetization in μB per formula unit: 0.00
# Raw total energy in eV/atom: -6.997
# Volume in Å³ per cell: 352.19

***

Entry 7:
# Nd2HoCd PBE relaxed
data_Nd2HoCd
_cell_length_a 3.6264
_cell_length_b 3.6264
_cell_length_c 33.3201
_cell_angle_alpha 90.00
_cell_angle_beta 90.00
_cell_angle_gamma 120.00
_space_group_name_H-M_alt 'R -3 m'
_space_group_IT_number 166
_space_group_name_Hall '-R 3 2"'
loop_
_atom_site_label
_atom_site_fract_x
_atom_site_fract_y
_atom_site_fract_z
Nd1 0.0000 0.0000 0.2458
Ho1 0.0000 0.0000 0.0000
Cd1 0.0000 0.0000 0.5000
# Formation energy from the elements in eV per atom: -0.05
# Total magnetization in μB per formula unit: 0.00
# Energy relative to the lowest polymorph listed for this composition in eV per atom: 0.084
# Raw total energy in eV/atom: -3.808
# Volume in Å³ per cell: 379.48

***

Entry 8:
# YEr4Sc5 PBE relaxed
data_YEr4Sc5
_cell_length_a 14.6081
_cell_length_b 5.3167
_cell_length_c 9.6894
_cell_angle_alpha 90.00
_cell_angle_beta 129.24
_cell_angle_gamma 90.00
_space_group_name_H-M_alt 'C 1 2/m 1'
_space_group_IT_number 12
loop_
_space_group_symop_operation_xyz
'x,y,z'
'-x,-y,-z'
'-x,y,-z'
'x,-y,z'
'x+1/2,y+1/2,z'
'-x+1/2,-y+1/2,-z'
'-x+1/2,y+1/2,-z'
'x+1/2,-y+1/2,z'
loop_
_atom_site_label
_atom_site_fract_x
_atom_site_fract_y
_atom_site_fract_z
Y1 0.0000 0.0000 0.0000
Er1 0.2463 0.0000 0.8673
Er2 0.2461 0.5000 0.6261
Sc1 0.0000 0.5000 0.5000
Sc2 0.0503 0.5000 0.2113
Sc3 0.0534 0.0000 0.4032
# Formation energy from the elements in eV per atom: 0.26
# Total magnetization in μB per formula unit: 0.00
# Energy relative to the lowest polymorph listed for this composition in eV per atom: 0.000
# Raw total energy in eV/atom: -5.377
# Volume in Å³ per cell: 582.83

***

Question: Which value of volume does entry 2 give?
Answer: 63.28 Å³ per cell